CsTaPt3: relaxed, PBE.

It has space group Pm-3m (No. 221), with a = 5.081 Å, b = 5.081 Å, c = 5.081 Å, α = 90.00°, β = 90.00° and γ = 90.00°. The distinct sites, in fractional coordinates, are Cs at (0.000, 0.000, 0.000), Ta at (0.500, 0.500, 0.500) and Pt at (0.000, 0.500, 0.500).

The calculated formation energy comes out at 455 meV/atom. The energy comes out at -5.711 eV/atom.